PBE-GGA Nd3TlAg2, optimized geometry; SG = No. 123; volume = 27.6 Å³/atom; ΔE_f = -0.30 eV/atom
1.0
-2.147 -0.213 -3.052
-2.152 -2.544 1.693
-6.893 8.657 4.245
Nd Tl Ag
3 1 2
Cartesian
0.000 0.000 0.000 Nd
-4.674 5.870 2.879 Nd
-2.219 2.787 1.367 Nd
-5.596 2.950 1.443 Tl
-7.948 5.902 2.891 Ag
-3.245 -0.003 -0.005 Ag